Computed, not measured: a geometry-optimized SmAlS structure at the PBE level of DFT.

Calculated values
ΔE_f (raw)	-684	meV/atom
mass density	5.3	g/cm³
total moment	0.000	μB/atom
crystal system	hexagonal
electronic total energy	-4.8808	eV per atom

abc: 3.558 3.558 12.044
angles: 90.00 90.00 120.00
Element x y z (fractional)
Sm 0.000 0.000 0.200
Sm 0.000 0.000 0.800
Al 0.000 0.000 0.500
Al 0.667 0.333 0.000
S 0.667 0.333 0.370
S 0.667 0.333 0.630